No. 1
# SrLiNb

A relaxed structure of SrLiNb (PBE, Alexandria).

Geometry as POSCAR:
```
SrLiNb
1.0
-6.2310 -3.2444 -10.1434
3.4556 -0.1903 -1.3735
0.4163 -3.3750 1.5168
Sr Nb Li
2 2 2
Direct
0.8204 0.0238 0.7459
0.5316 0.3773 0.0978
0.0307 0.6300 0.3531
0.0952 0.1624 0.8857
0.2728 0.7520 0.9772
0.2728 0.2527 0.4760
```

## Properties
As for the total moment: 0.00 μB per formula unit. The energy relative to the lowest polymorph listed for this composition is 11 kJ/mol of formula units. The raw total energy is -25.21 eV for the cell shown.


No. 2
# SrLiNb

A relaxed structure of SrLiNb (PBE, Alexandria).

Geometry as POSCAR:
```
SrLiNb
1.0
4.7628 -2.7498 0.0000
0.0000 5.4996 0.0000
0.0000 0.0000 7.1839
Sr Nb Li
2 2 2
Direct
0.3333 0.6667 0.2576
0.3333 0.6667 0.7424
0.0000 0.0000 0.3494
0.0000 0.0000 0.6506
0.6667 0.3333 0.0000
0.6667 0.3333 0.5000
```

## Properties
As for the total moment: 0.00 μB per formula unit. The energy relative to the lowest polymorph listed for this composition is 153 kJ/mol of formula units. The raw total energy is -22.27 eV for the cell shown.


No. 3
# SrLiNb

A relaxed structure of SrLiNb (PBE, Alexandria).

Geometry as POSCAR:
```
SrLiNb
1.0
4.0992 0.0000 0.0000
0.0000 4.0992 0.0000
0.0000 0.0000 8.6194
Sr Nb Li
2 2 2
Direct
0.0000 0.0000 0.5000
0.5000 0.5000 0.5000
0.0000 0.5000 0.9280
0.5000 0.0000 0.0720
0.0000 0.5000 0.2152
0.5000 0.0000 0.7848
```

## Properties
As for the total moment: 0.00 μB per formula unit. The energy relative to the lowest polymorph listed for this composition is 252 kJ/mol of formula units. The raw total energy is -20.22 eV for the cell shown.


No. 4
# SrLiNb

A relaxed structure of SrLiNb (PBE, Alexandria).

Geometry as POSCAR:
```
SrLiNb
1.0
0.5226 -5.1779 1.5344
0.8344 -1.2107 5.2226
-3.9239 -2.3814 2.8931
Sr Nb Li
1 1 1
Direct
0.0000 0.0000 0.0000
0.7500 0.7500 0.7500
0.2500 0.2500 0.2500
```

## Properties
As for the total moment: 4.57 μB per formula unit. The energy relative to the lowest polymorph listed for this composition is 361 kJ/mol of formula units. The raw total energy is -8.98 eV for the cell shown.


No. 5
# SrLiNb3

A relaxed structure of SrLiNb3 (PBE, Alexandria).

Geometry as POSCAR:
```
SrLiNb3
1.0
4.7625 0.0000 0.0000
0.0000 4.7625 0.0000
0.0000 0.0000 4.7625
Sr Nb Li
1 3 1
Direct
0.5000 0.5000 0.5000
0.0000 0.5000 0.0000
0.0000 0.0000 0.5000
0.5000 0.0000 0.0000
0.0000 0.0000 0.0000
```

## Properties
As for the total moment: 0.00 μB per formula unit. The energy relative to the lowest polymorph listed for this composition is 0 kJ/mol of formula units. The raw total energy is -27.11 eV for the cell shown.


No. 6
# SrLiNb

A relaxed structure of SrLiNb (PBE, Alexandria).

Geometry as POSCAR:
```
SrLiNb
1.0
8.0125 0.0000 0.0000
0.0000 3.4532 0.0000
0.0000 0.0000 11.8518
Sr Nb Li
4 4 4
Direct
0.1533 0.2500 0.7562
0.3467 0.7500 0.2562
0.8467 0.7500 0.2438
0.6533 0.2500 0.7438
0.0920 0.2500 0.4519
0.4080 0.7500 0.9519
0.9080 0.7500 0.5481
0.5920 0.2500 0.0481
0.6317 0.2500 0.4514
0.8683 0.7500 0.9514
0.3683 0.7500 0.5486
0.1317 0.2500 0.0486
```

## Properties
As for the total moment: 0.00 μB per formula unit. The energy relative to the lowest polymorph listed for this composition is 38 kJ/mol of formula units. The raw total energy is -49.29 eV for the cell shown.


Number 1: formation energy 34.09 kJ per mole of atoms. Number 2: formation energy 81.40 kJ per mole of atoms. Number 3: formation energy 114.33 kJ per mole of atoms. Number 4: formation energy 150.78 kJ per mole of atoms. Number 5: formation energy 129.17 kJ per mole of atoms. Number 6: formation energy 43.16 kJ per mole of atoms.